First-principles (SCAN) data for a PBEsol-optimized structure of CdAsBr2, as listed in Alexandria via LeMat-Bulk.

Lattice parameters (Å, degrees): 3.656 4.953 4.953 90.25 90.00 90.00
Atoms (fractional coordinates):
As 0.500 0.500 0.500
Br 0.000 0.500 0.000
Br 0.000 0.000 0.500
Cd 0.500 0.000 0.000

Calculated values
The total energy is -22.0798 eV per atom. As for the energy above the lowest structure with this stoichiometry: 0.000 eV/atom.

---

First-principles (SCAN) data for a PBEsol-optimized structure of K2In2Hg, as listed in Alexandria via LeMat-Bulk.

Lattice parameters (Å, degrees): 4.566 4.566 8.692 105.23 105.23 90.00
Atoms (fractional coordinates):
K 0.250 0.750 0.500
K 0.750 0.250 0.500
Hg 0.000 0.000 0.000
In 0.586 0.586 0.172
In 0.414 0.414 0.828

Calculated values
The total energy is -30.1335 eV per atom. For the formation energy, the calculation gives 0.929 eV/f.u.

---

First-principles (SCAN) data for a PBEsol-optimized structure of Hf3SnGe, as listed in Alexandria via LeMat-Bulk.

Lattice parameters (Å, degrees): 4.889 4.889 4.889 90.00 90.00 90.00
Atoms (fractional coordinates):
Hf 0.000 0.500 0.000
Hf 0.500 0.000 0.000
Hf 0.000 0.000 0.500
Ge 0.000 0.000 0.000
Sn 0.500 0.500 0.500

Calculated values
The total energy is -48.3938 eV per atom. For the formation energy, the calculation gives 1.059 eV/f.u.

---

First-principles (SCAN) data for a PBEsol-optimized structure of Al2SiHg, as listed in Alexandria via LeMat-Bulk.

Lattice parameters (Å, degrees): 3.890 3.890 5.466 110.84 110.84 90.00
Atoms (fractional coordinates):
Al 0.750 0.250 0.500
Al 0.000 0.000 0.000
Hg 0.500 0.500 0.000
Si 0.250 0.750 0.500

Calculated values
The total energy is -23.1207 eV per atom. As for the energy above the lowest structure with this stoichiometry: 0.143 eV/atom.

---

First-principles (SCAN) data for a PBEsol-optimized structure of TeIrBr, as listed in Alexandria via LeMat-Bulk.

Lattice parameters (Å, degrees): 4.656 4.656 4.656 60.00 60.00 60.00
Atoms (fractional coordinates):
Ir 0.500 0.500 0.500
Br 0.000 0.000 0.000
Te 0.250 0.250 0.250

Calculated values
The total energy is -41.4615 eV per atom.

---

First-principles (SCAN) data for a PBEsol-optimized structure of CdP3, as listed in Alexandria via LeMat-Bulk.

Lattice parameters (Å, degrees): 3.484 3.484 6.638 74.79 74.79 60.00
Atoms (fractional coordinates):
Cd 0.000 0.000 0.000
P 0.765 0.765 0.704
P 0.500 0.500 0.500
P 0.235 0.235 0.296

Calculated values
The total energy is -15.2241 eV per atom. As for the energy above the lowest structure with this stoichiometry: 0.240 eV/atom. For the formation energy, the calculation gives 0.714 eV/f.u.

---

First-principles (SCAN) data for a PBEsol-optimized structure of MnCoN2, as listed in Alexandria via LeMat-Bulk.

Lattice parameters (Å, degrees): 4.194 4.194 5.155 114.00 114.00 90.00
Site moments in Bohr magnetons follow the coordinates.
Atoms (fractional coordinates):
Co 0.000 0.000 0.000  -1.62
Co 0.250 0.750 0.500  -1.62
Mn 0.500 0.500 0.000  1.90
Mn 0.750 0.250 0.500  1.90
N 0.385 0.875 0.250  -0.10
N 0.865 0.375 0.250  -0.10
N 0.125 0.135 0.750  -0.10
N 0.625 0.615 0.750  -0.10

Calculated values
The total energy is -13.8155 eV per atom. As for the energy above the lowest structure with this stoichiometry: 0.000 eV/atom.

---

First-principles (SCAN) data for a PBEsol-optimized structure of MgZrBr2, as listed in Alexandria via LeMat-Bulk.

Lattice parameters (Å, degrees): 3.287 3.287 9.285 90.00 90.00 90.00
Site moments in Bohr magnetons follow the coordinates.
Atoms (fractional coordinates):
Br 0.000 0.000 0.326  0.00
Br 0.000 0.000 0.674  0.00
Zr 0.500 0.500 0.500  0.20
Mg 0.500 0.500 0.000  0.00

Calculated values
The total energy is -19.2876 eV per atom. As for the energy above the lowest structure with this stoichiometry: 0.059 eV/atom.

---

First-principles (SCAN) data for a PBEsol-optimized structure of Zr2ScCu, as listed in Alexandria via LeMat-Bulk.

Lattice parameters (Å, degrees): 3.159 3.159 7.819 90.00 90.00 90.00
Atoms (fractional coordinates):
Zr 0.500 0.500 0.282
Zr 0.000 0.000 0.003
Cu 0.000 0.000 0.501
Sc 0.500 0.500 0.714

Calculated values
The total energy is -22.8238 eV per atom. As for the energy above the lowest structure with this stoichiometry: 0.000 eV/atom. For the formation energy, the calculation gives -0.461 eV/f.u.

---

First-principles (SCAN) data for a PBEsol-optimized structure of AlOsPt, as listed in Alexandria via LeMat-Bulk.

Lattice parameters (Å, degrees): 2.736 2.736 6.616 96.52 96.52 116.78
Atoms (fractional coordinates):
Pt 0.343 0.343 0.686
Al 0.000 0.000 0.000
Os 0.657 0.657 0.314

Calculated values
The total energy is -50.1385 eV per atom. For the formation energy, the calculation gives -0.591 eV/f.u.

---

First-principles (SCAN) data for a PBEsol-optimized structure of Ho2TeO2, as listed in Alexandria via LeMat-Bulk.

Lattice parameters (Å, degrees): 3.862 3.862 6.700 106.75 106.75 90.00
Atoms (fractional coordinates):
Te 0.000 0.000 0.000
O 0.750 0.250 0.500
O 0.250 0.750 0.500
Ho 0.662 0.662 0.324
Ho 0.338 0.338 0.676

Calculated values
The total energy is -32.8055 eV per atom.

---

First-principles (SCAN) data for a PBEsol-optimized structure of CdH12C2S2N6Cl4, as listed in Alexandria via LeMat-Bulk.

Lattice parameters (Å, degrees): 7.426 8.250 10.836 90.00 97.16 90.00
Atoms (fractional coordinates):
Cl 0.808 0.655 0.479
Cl 0.192 0.345 0.521
Cl 0.692 0.155 0.021
Cl 0.308 0.845 0.979
Cl 0.143 0.129 0.214
Cl 0.857 0.871 0.786
Cl 0.357 0.629 0.286
Cl 0.643 0.371 0.714
N 0.530 0.962 0.231
N 0.743 0.585 0.974
N 0.970 0.462 0.269
N 0.640 0.962 0.345
N 0.243 0.915 0.474
N 0.140 0.538 0.845
N 0.470 0.038 0.769
N 0.257 0.415 0.026
N 0.030 0.538 0.731
N 0.860 0.462 0.155
N 0.757 0.085 0.526
N 0.360 0.038 0.655
H 0.308 0.151 0.622
H 0.098 0.496 0.656
H 0.292 0.525 0.065
H 0.770 0.185 0.583
H 0.521 0.156 0.786
H 0.979 0.656 0.714
H 0.585 0.962 0.766
H 0.192 0.651 0.878
H 0.085 0.538 0.266
H 0.915 0.462 0.734
H 0.208 0.025 0.435
H 0.808 0.349 0.122
H 0.708 0.475 0.935
H 0.402 0.996 0.844
H 0.902 0.504 0.344
H 0.792 0.975 0.565
H 0.230 0.815 0.417
H 0.415 0.038 0.234
H 0.021 0.344 0.286
H 0.598 0.004 0.156
H 0.692 0.849 0.378
H 0.270 0.315 0.083
H 0.730 0.685 0.917
H 0.479 0.844 0.214
S 0.590 0.277 0.346
S 0.910 0.777 0.154
S 0.090 0.223 0.846
S 0.410 0.723 0.654
C 0.167 0.400 0.912
C 0.833 0.600 0.088
C 0.333 0.900 0.588
C 0.667 0.100 0.412
Cd 0.500 0.500 0.500
Cd 0.000 0.000 0.000

Calculated values
The total energy is -7.7705 eV per atom.